w | {
  "formula": "NdHo2Tc",
  "functional": "PBE",
  "state": "relaxed",
  "cell": [[-1.525, -2.916, -3.531], [3.134, -1.686, -3.260], [1.443, -5.625, 0.723]],
  "species": ["Nd", "Ho", "Tc", "Ho"],
  "fractional_positions": [[0.500, 0.500, 0.500], [0.726, 0.726, 0.821], [0.000, 0.000, 0.000], [0.274, 0.274, 0.179]],
  "space_group": "R-3m",
  "magmom_total_mub_per_fu": 0.00,
  "volume_a3_per_atom": 25.950
}

x | {
  "formula": "NdHo2Tc",
  "functional": "PBE",
  "state": "relaxed",
  "cell": [[3.447, 0.000, 0.000], [0.000, 3.447, 0.000], [0.000, 0.000, 9.115]],
  "species": ["Ho", "Ho", "Nd", "Tc"],
  "fractional_positions": [[0.000, 0.000, 0.180], [0.000, 0.000, 0.820], [0.500, 0.500, 0.500], [0.500, 0.500, 0.000]],
  "space_group": "P4/mmm",
  "magmom_total_mub_per_fu": 0.00,
  "volume_a3_per_atom": 27.080
}

Of them, w has the lowest stability.

w | {
  "formula": "NdHoTc",
  "functional": "PBE",
  "state": "relaxed",
  "cell": [[6.088, 0.000, 0.000], [0.000, 3.370, 0.000], [-3.044, -1.685, 7.808]],
  "species": ["Ho", "Tc", "Nd", "Tc", "Ho", "Nd"],
  "fractional_positions": [[0.830, 0.330, 0.659], [0.808, 0.500, 0.000], [0.614, 0.114, 0.229], [0.192, 0.500, 0.000], [0.170, 0.670, 0.341], [0.386, 0.886, 0.771]],
  "space_group": "Immm",
  "magmom_total_mub_per_fu": 0.00,
  "volume_a3_per_atom": 26.697
}

x | {
  "formula": "NdHoTc",
  "functional": "PBE",
  "state": "relaxed",
  "cell": [[-0.112, 3.038, 1.735], [-3.329, -0.627, 0.882], [3.690, -4.173, 4.014]],
  "species": ["Ho", "Nd", "Tc"],
  "fractional_positions": [[0.294, 0.294, 0.588], [0.036, 0.036, 0.071], [0.671, 0.671, 0.341]],
  "space_group": "I4mm",
  "magmom_total_mub_per_fu": 0.00,
  "volume_a3_per_atom": 26.157
}

Of them, w has the lowest stability.

w | {
  "formula": "NdHo6Te8",
  "functional": "PBE",
  "state": "relaxed",
  "cell": [[-7.816, -0.890, -3.607], [-2.118, -7.392, -3.970], [-5.831, -5.309, 3.564]],
  "species": ["Ho", "Te", "Ho", "Ho", "Te", "Ho", "Te", "Te", "Te", "Ho", "Nd", "Ho", "Te", "Te", "Te"],
  "fractional_positions": [[0.000, 0.000, 0.500], [0.262, 0.738, 0.738], [0.500, 0.500, 0.000], [0.500, 0.000, 0.000], [0.738, 0.262, 0.738], [0.000, 0.500, 0.500], [0.738, 0.262, 0.262], [0.262, 0.262, 0.738], [0.262, 0.738, 0.262], [0.000, 0.500, 0.000], [0.000, 0.000, 0.000], [0.500, 0.000, 0.500], [0.738, 0.738, 0.262], [0.250, 0.250, 0.250], [0.750, 0.750, 0.750]],
  "space_group": "Fm-3m",
  "magmom_total_mub_per_fu": 0.00,
  "volume_a3_per_atom": 30.554
}

x | {
  "formula": "NdHo6Te8",
  "functional": "PBE",
  "state": "relaxed",
  "cell": [[0.174, 6.617, 4.772], [2.620, -1.919, 7.486], [7.672, 2.549, 1.105]],
  "species": ["Te", "Ho", "Nd", "Ho", "Ho", "Ho", "Te", "Te", "Te", "Te", "Te", "Ho", "Te", "Ho", "Te"],
  "fractional_positions": [[0.898, 0.192, 0.626], [0.078, 0.451, 0.693], [0.000, 0.000, 0.000], [0.693, 0.078, 0.451], [0.451, 0.693, 0.078], [0.549, 0.307, 0.922], [0.325, 0.325, 0.325], [0.192, 0.626, 0.898], [0.102, 0.808, 0.374], [0.808, 0.374, 0.102], [0.374, 0.102, 0.808], [0.307, 0.922, 0.549], [0.626, 0.898, 0.192], [0.922, 0.549, 0.307], [0.675, 0.675, 0.675]],
  "space_group": "R-3",
  "magmom_total_mub_per_fu": 0.00,
  "volume_a3_per_atom": 30.622
}

Of them, x has the lowest stability.

w | {
  "formula": "NdHoTe",
  "functional": "PBE",
  "state": "relaxed",
  "cell": [[-2.527, 2.741, -1.228], [-2.002, -2.734, -1.983], [-1.092, -0.978, 6.337]],
  "species": ["Te", "Ho", "Nd"],
  "fractional_positions": [[0.676, 0.676, 0.353], [0.316, 0.316, 0.633], [0.007, 0.007, 0.014]],
  "space_group": "I4mm",
  "magmom_total_mub_per_fu": 0.00,
  "volume_a3_per_atom": 30.219
}

x | {
  "formula": "NdHoTe",
  "functional": "PBE",
  "state": "relaxed",
  "cell": [[-3.425, 1.586, 1.428], [-5.487, -3.698, -9.053], [0.236, -7.867, 3.602]],
  "species": ["Ho", "Ho", "Nd", "Ho", "Te", "Te", "Te", "Te", "Nd", "Nd", "Nd", "Ho"],
  "fractional_positions": [[0.251, 0.663, 0.501], [0.193, 0.081, 0.385], [0.615, 0.841, 0.229], [0.749, 0.337, 0.499], [0.620, 0.542, 0.240], [0.380, 0.458, 0.760], [0.426, 0.845, 0.852], [0.574, 0.155, 0.148], [0.025, 0.352, 0.050], [0.385, 0.159, 0.771], [0.975, 0.648, 0.950], [0.807, 0.919, 0.615]],
  "space_group": "C2/m",
  "magmom_total_mub_per_fu": 0.00,
  "volume_a3_per_atom": 31.704
}

y | {
  "formula": "NdHoTe",
  "functional": "PBE",
  "state": "relaxed",
  "cell": [[-2.168, 1.133, 3.239], [-3.505, -3.700, -1.052], [4.055, -1.059, 3.085]],
  "species": ["Nd", "Te", "Ho"],
  "fractional_positions": [[0.609, 0.667, 0.333], [0.273, 0.333, 0.667], [0.118, 0.000, 0.000]],
  "space_group": "P3m1",
  "magmom_total_mub_per_fu": 0.00,
  "volume_a3_per_atom": 31.731
}

Of them, y has the lowest stability.

w | {
  "formula": "NdHo2Te",
  "functional": "PBE",
  "state": "relaxed",
  "cell": [[-2.349, 2.966, -0.459], [-3.774, -0.534, 0.038], [-2.154, 2.382, 10.603]],
  "species": ["Nd", "Ho", "Te", "Ho"],
  "fractional_positions": [[0.000, 0.000, 0.000], [0.896, 0.896, 0.311], [0.500, 0.500, 0.500], [0.104, 0.104, 0.689]],
  "space_group": "R-3m",
  "magmom_total_mub_per_fu": 0.87,
  "volume_a3_per_atom": 34.152
}

x | {
  "formula": "NdHo2Te",
  "functional": "PBE",
  "state": "relaxed",
  "cell": [[-0.975, 2.119, 3.223], [-5.348, -2.750, -2.264], [1.654, -7.911, 5.701]],
  "species": ["Ho", "Ho", "Te", "Te", "Nd", "Ho", "Nd", "Ho"],
  "fractional_positions": [[0.364, 0.727, 0.534], [0.364, 0.727, 0.966], [0.231, 0.463, 0.250], [0.769, 0.537, 0.750], [0.054, 0.109, 0.750], [0.636, 0.273, 0.466], [0.946, 0.891, 0.250], [0.636, 0.273, 0.034]],
  "space_group": "Cmcm",
  "magmom_total_mub_per_fu": 0.00,
  "volume_a3_per_atom": 30.059
}

y | {
  "formula": "NdHo2Te",
  "functional": "PBE",
  "state": "relaxed",
  "cell": [[3.857, 0.000, 0.000], [0.000, 3.857, 0.000], [0.000, 0.000, 8.037]],
  "species": ["Ho", "Ho", "Te", "Nd"],
  "fractional_positions": [[0.000, 0.000, 0.281], [0.000, 0.000, 0.719], [0.500, 0.500, 0.500], [0.500, 0.500, 0.000]],
  "space_group": "P4/mmm",
  "magmom_total_mub_per_fu": 0.00,
  "volume_a3_per_atom": 29.894
}

Of them, w has the lowest stability.

w | {
  "formula": "Nd3HoTe4",
  "functional": "PBE",
  "state": "relaxed",
  "cell": [[-2.904, -2.837, -1.684], [5.806, -4.724, -2.054], [-2.324, -1.874, 7.165]],
  "species": ["Te", "Ho", "Nd", "Te", "Te", "Te", "Nd", "Nd"],
  "fractional_positions": [[0.500, 0.245, 0.755], [0.500, 0.000, 0.000], [0.000, 0.500, 0.000], [0.000, 0.759, 0.759], [0.500, 0.755, 0.245], [0.000, 0.241, 0.241], [0.000, 0.000, 0.500], [0.500, 0.500, 0.500]],
  "space_group": "Cmmm",
  "magmom_total_mub_per_fu": 0.00,
  "volume_a3_per_atom": 31.348
}

x | {
  "formula": "Nd3HoTe4",
  "functional": "PBE",
  "state": "relaxed",
  "cell": [[-2.359, 1.293, -3.407], [3.862, -1.882, -0.623], [-13.607, -27.584, -1.046]],
  "species": ["Nd", "Nd", "Te", "Te", "Ho", "Nd", "Te", "Te", "Te", "Nd", "Nd", "Ho", "Te", "Te", "Nd", "Te"],
  "fractional_positions": [[0.333, 0.667, 0.874], [0.000, 0.000, 0.500], [0.000, 0.000, 0.190], [0.333, 0.667, 0.063], [0.667, 0.333, 0.750], [0.667, 0.333, 0.374], [0.000, 0.000, 0.310], [0.000, 0.000, 0.810], [0.667, 0.333, 0.563], [0.000, 0.000, 0.000], [0.667, 0.333, 0.126], [0.333, 0.667, 0.250], [0.000, 0.000, 0.690], [0.667, 0.333, 0.937], [0.333, 0.667, 0.626], [0.333, 0.667, 0.437]],
  "space_group": "P6_3/mmc",
  "magmom_total_mub_per_fu": 0.00,
  "volume_a3_per_atom": 31.389
}

Of them, x has the lowest stability.

w | {
  "formula": "Nd6HoTh",
  "functional": "PBE",
  "state": "relaxed",
  "cell": [[-4.997, -0.713, -1.046], [0.582, -5.076, 0.681], [-2.249, 1.084, 10.007]],
  "species": ["Nd", "Th", "Nd", "Nd", "Nd", "Ho", "Nd", "Nd"],
  "fractional_positions": [[0.500, 0.000, 0.252], [0.000, 0.000, 0.500], [0.500, 0.000, 0.748], [0.000, 0.500, 0.252], [0.500, 0.500, 0.000], [0.000, 0.000, 0.000], [0.500, 0.500, 0.500], [0.000, 0.500, 0.748]],
  "space_group": "P4/mmm",
  "magmom_total_mub_per_fu": 0.00,
  "volume_a3_per_atom": 34.257
}

x | {
  "formula": "Nd6HoTh",
  "functional": "PBE",
  "state": "relaxed",
  "cell": [[-5.433, 2.585, -0.887], [-0.262, -2.458, -5.557], [-6.172, -5.957, -0.402]],
  "species": ["Nd", "Nd", "Nd", "Th", "Ho", "Nd", "Nd", "Nd"],
  "fractional_positions": [[0.379, 0.879, 0.242], [0.257, 0.257, 0.487], [0.743, 0.743, 0.513], [0.500, 0.500, 0.000], [0.000, 0.000, 0.000], [0.879, 0.379, 0.242], [0.621, 0.121, 0.758], [0.121, 0.621, 0.758]],
  "space_group": "I4/mmm",
  "magmom_total_mub_per_fu": 0.00,
  "volume_a3_per_atom": 34.369
}

Of them, x has the lowest stability.

w | {
  "formula": "Nd4Ho5Th2",
  "functional": "PBE",
  "state": "relaxed",
  "cell": [[-2.242, 1.325, -2.345], [-7.618, -8.388, 2.544], [1.250, 8.853, 6.426]],
  "species": ["Nd", "Nd", "Ho", "Ho", "Ho", "Ho", "Th", "Th", "Ho", "Nd", "Nd"],
  "fractional_positions": [[0.000, 0.263, 0.000], [0.591, 0.591, 0.183], [0.819, 0.111, 0.639], [0.500, 0.000, 0.000], [0.819, 0.528, 0.639], [0.181, 0.889, 0.361], [0.799, 0.799, 0.598], [0.201, 0.201, 0.402], [0.181, 0.472, 0.361], [0.000, 0.737, 0.000], [0.409, 0.409, 0.817]],
  "space_group": "Immm",
  "magmom_total_mub_per_fu": 0.00,
  "volume_a3_per_atom": 33.998
}

x | {
  "formula": "Nd4Ho5Th2",
  "functional": "PBE",
  "state": "relaxed",
  "cell": [[-2.684, -0.920, 2.208], [7.158, -5.023, 3.705], [10.975, 10.585, 0.178]],
  "species": ["Nd", "Ho", "Ho", "Nd", "Th", "Ho", "Ho", "Th", "Ho", "Nd", "Nd"],
  "fractional_positions": [[0.223, 0.177, 0.545], [0.149, 0.905, 0.732], [0.313, 0.452, 0.362], [0.613, 0.278, 0.824], [0.034, 0.634, 0.906], [0.500, 0.000, 0.000], [0.687, 0.548, 0.638], [0.966, 0.366, 0.094], [0.851, 0.095, 0.268], [0.777, 0.823, 0.455], [0.387, 0.722, 0.176]],
  "space_group": "P-1",
  "magmom_total_mub_per_fu": 0.00,
  "volume_a3_per_atom": 32.772
}

Of them, w has the lowest stability.